# 1
# Pm3Si2BiPt9

A relaxed structure of Pm3Si2BiPt9 (GGA-PBE, the Alexandria database).

a = 5.718 Å, b = 5.718 Å, c = 11.780 Å
α = 90.00°, β = 90.00°, γ = 120.00°
Element x y z (fractional)
Pm 0.000 0.000 0.000
Pm 0.333 0.667 0.772
Pm 0.667 0.333 0.228
Si 0.333 0.667 0.158
Si 0.667 0.333 0.842
Bi 0.000 0.000 0.500
Pt 0.000 0.500 0.000
Pt 0.164 0.328 0.303
Pt 0.164 0.836 0.303
Pt 0.328 0.164 0.697
Pt 0.500 0.000 0.000
Pt 0.500 0.500 0.000
Pt 0.672 0.836 0.303
Pt 0.836 0.164 0.697
Pt 0.836 0.672 0.697

Computed properties:
formation energy (no corrections): -0.780 eV/atom
space group: P-3m1, No. 164

# 2
# Tb6Dy2ErTh

A relaxed structure of Tb6Dy2ErTh (GGA-PBE, the Alexandria database).

a = 8.783 Å, b = 8.783 Å, c = 9.387 Å
α = 92.94°, β = 92.94°, γ = 116.48°
Element x y z (fractional)
Tb 0.012 0.570 0.187
Tb 0.120 0.765 0.559
Tb 0.235 0.880 0.941
Tb 0.290 0.517 0.387
Tb 0.430 0.988 0.313
Tb 0.483 0.710 0.113
Tb 0.517 0.290 0.887
Tb 0.570 0.012 0.687
Tb 0.710 0.483 0.613
Tb 0.765 0.120 0.059
Tb 0.880 0.235 0.441
Tb 0.988 0.430 0.813
Dy 0.202 0.303 0.053
Dy 0.303 0.202 0.553
Dy 0.697 0.798 0.447
Dy 0.798 0.697 0.947
Er 0.411 0.589 0.750
Er 0.589 0.411 0.250
Th 0.032 0.968 0.250
Th 0.968 0.032 0.750

Computed properties:
energy of formation: 0.15 eV/atom
space group: C2/c, No. 15

# 3
# LaZrW2

A relaxed structure of LaZrW2 (GGA-PBE, the Alexandria database).

a = 10.784 Å, b = 10.784 Å, c = 10.784 Å
α = 15.99°, β = 15.99°, γ = 15.99°
Element x y z (fractional)
La 0.000 0.000 0.000
Zr 0.500 0.500 0.500
W 0.245 0.245 0.245
W 0.755 0.755 0.755

Computed properties:
energy of formation: 0.79 eV/atom
space group: R-3m, No. 166
energy relative to the lowest polymorph listed for this composition: 543.6 meV per atom

# 4
# Pm5NdHo2Sc

A relaxed structure of Pm5NdHo2Sc (GGA-PBE, the Alexandria database).

a = 10.502 Å, b = 10.502 Å, c = 10.493 Å
α = 90.00°, β = 90.00°, γ = 148.88°
Element x y z (fractional)
Pm 0.016 0.984 0.500
Pm 0.125 0.875 0.777
Pm 0.202 0.798 0.465
Pm 0.224 0.776 0.079
Pm 0.483 0.517 0.773
Pm 0.517 0.483 0.273
Pm 0.776 0.224 0.579
Pm 0.798 0.202 0.965
Pm 0.875 0.125 0.277
Pm 0.984 0.016 0.000
Nd 0.091 0.909 0.216
Nd 0.909 0.091 0.716
Ho 0.384 0.616 0.494
Ho 0.387 0.613 0.068
Ho 0.613 0.387 0.568
Ho 0.616 0.384 0.994
Sc 0.305 0.695 0.772
Sc 0.695 0.305 0.272

Computed properties:
energy of formation: 0.16 eV/atom
space group: Cmc2_1, No. 36

# 5
# LaAs2PtRh2

A relaxed structure of LaAs2PtRh2 (GGA-PBE, the Alexandria database).

a = 5.012 Å, b = 12.105 Å, c = 4.275 Å
α = 90.00°, β = 90.00°, γ = 90.00°
Element x y z (fractional)
La 0.000 0.000 0.000
La 0.500 0.500 0.500
As 0.122 0.305 0.000
As 0.378 0.805 0.500
As 0.622 0.195 0.500
As 0.878 0.695 0.000
Pt 0.000 0.500 0.000
Pt 0.500 0.000 0.500
Rh 0.082 0.653 0.500
Rh 0.418 0.153 0.000
Rh 0.582 0.847 0.000
Rh 0.918 0.347 0.500

Computed properties:
energy of formation: -0.61 eV/atom
space group: Pnnm, No. 58

# 6
# La6Pr

A relaxed structure of La6Pr (GGA-PBE, the Alexandria database).

a = 7.128 Å, b = 7.128 Å, c = 7.128 Å
α = 109.47°, β = 109.47°, γ = 109.47°
Element x y z (fractional)
La 0.250 0.500 0.750
La 0.250 0.750 0.500
La 0.500 0.250 0.750
La 0.500 0.750 0.250
La 0.750 0.250 0.500
La 0.750 0.500 0.250
Pr 0.000 0.000 0.000

Computed properties:
energy of formation: 0.82 eV/atom
space group: Im-3m, No. 229
energy relative to the lowest polymorph listed for this composition: 720.3 meV per atom

# 7
# KCuPbO2

A relaxed structure of KCuPbO2 (GGA-PBE, the Alexandria database).

a = 5.952 Å, b = 5.238 Å, c = 7.140 Å
α = 90.00°, β = 95.69°, γ = 90.00°
Element x y z (fractional)
K 0.000 0.027 0.250
K 0.000 0.973 0.750
Cu 0.500 0.000 0.000
Cu 0.500 0.000 0.500
Pb 0.500 0.493 0.250
Pb 0.500 0.507 0.750
O 0.290 0.242 0.542
O 0.290 0.758 0.042
O 0.710 0.242 0.958
O 0.710 0.758 0.458

Computed properties:
formation energy (no corrections): -0.915 eV/atom
space group: P2/c, No. 13

# 8
# Rb3Tl2Au7

A relaxed structure of Rb3Tl2Au7 (GGA-PBE, the Alexandria database).

a = 10.354 Å, b = 10.354 Å, c = 10.354 Å
α = 34.30°, β = 34.30°, γ = 34.30°
Element x y z (fractional)
Rb 0.000 0.000 0.000
Rb 0.143 0.143 0.143
Rb 0.857 0.857 0.857
Tl 0.330 0.330 0.330
Tl 0.670 0.670 0.670
Au 0.091 0.583 0.583
Au 0.417 0.417 0.909
Au 0.417 0.909 0.417
Au 0.500 0.500 0.500
Au 0.583 0.091 0.583
Au 0.583 0.583 0.091
Au 0.909 0.417 0.417

Computed properties:
energy of formation: -0.15 eV/atom
space group: R-3m, No. 166

# 9
# Cu4SeS

A relaxed structure of Cu4SeS (GGA-PBE, the Alexandria database).

a = 5.196 Å, b = 5.196 Å, c = 3.904 Å
α = 90.00°, β = 90.00°, γ = 90.67°
Element x y z (fractional)
Cu 0.201 0.799 0.000
Cu 0.326 0.326 0.500
Cu 0.674 0.674 0.500
Cu 0.799 0.201 0.000
Se 0.000 0.000 0.500
S 0.500 0.500 0.000

Computed properties:
formation energy (no corrections): 0.056 eV/atom
space group: Cmmm, No. 65

# 10
# SmSnPd6

A relaxed structure of SmSnPd6 (GGA-PBE, the Alexandria database).

a = 7.603 Å, b = 7.603 Å, c = 7.603 Å
α = 42.24°, β = 42.24°, γ = 42.24°
Element x y z (fractional)
Sm 0.000 0.000 0.000
Sn 0.500 0.500 0.500
Pd 0.059 0.569 0.569
Pd 0.431 0.431 0.941
Pd 0.431 0.941 0.431
Pd 0.569 0.059 0.569
Pd 0.569 0.569 0.059
Pd 0.941 0.431 0.431

Computed properties:
energy of formation: -0.27 eV/atom
space group: R-3m, No. 166
energy relative to the lowest polymorph listed for this composition: 366.3 meV per atom

# 11
# LiW5

A relaxed structure of LiW5 (GGA-PBE, the Alexandria database).

a = 5.376 Å, b = 5.376 Å, c = 4.463 Å
α = 90.00°, β = 90.00°, γ = 120.00°
Element x y z (fractional)
Li 0.000 0.000 0.000
W 0.000 0.500 0.500
W 0.333 0.667 0.000
W 0.500 0.000 0.500
W 0.500 0.500 0.500
W 0.667 0.333 0.000

Computed properties:
energy of formation: 0.70 eV/atom
space group: P6/mmm, No. 191
energy relative to the lowest polymorph listed for this composition: 400.4 meV per atom

# 12
# BaCa2W

A relaxed structure of BaCa2W (GGA-PBE, the Alexandria database).

a = 7.145 Å, b = 7.145 Å, c = 7.145 Å
α = 149.12°, β = 130.08°, γ = 59.86°
Element x y z (fractional)
Ba 0.000 0.000 0.000
Ca 0.302 0.802 0.500
Ca 0.698 0.198 0.500
W 0.500 0.500 0.000

Computed properties:
energy of formation: 0.93 eV/atom
space group: Immm, No. 71
energy relative to the lowest polymorph listed for this composition: 73.5 meV per atom

# 13
# Tb2BeGaIr2

A relaxed structure of Tb2BeGaIr2 (GGA-PBE, the Alexandria database).

a = 7.930 Å, b = 7.930 Å, c = 7.930 Å
α = 137.55°, β = 61.50°, γ = 137.67°
Element x y z (fractional)
Tb 0.170 0.237 0.407
Tb 0.330 0.737 0.067
Tb 0.670 0.263 0.933
Tb 0.830 0.763 0.593
Be 0.250 0.750 0.500
Be 0.750 0.250 0.500
Ga 0.250 0.250 0.000
Ga 0.750 0.750 0.000
Ir 0.106 0.718 0.825
Ir 0.394 0.218 0.612
Ir 0.606 0.782 0.388
Ir 0.894 0.282 0.175

Computed properties:
energy of formation: -0.70 eV/atom
space group: Ibam, No. 72

# 14
# RbB3S

A relaxed structure of RbB3S (GGA-PBE, the Alexandria database).

a = 5.176 Å, b = 5.176 Å, c = 5.176 Å
α = 90.00°, β = 90.00°, γ = 90.00°
Element x y z (fractional)
Rb 0.000 0.000 0.000
B 0.000 0.000 0.500
B 0.000 0.500 0.000
B 0.500 0.000 0.000
S 0.500 0.500 0.500

Computed properties:
formation energy (no corrections): 3.474 eV/atom
space group: Pm-3m, No. 221
energy relative to the lowest polymorph listed for this composition: 1442.9 meV per atom

# 15
# LiRuO4

A relaxed structure of LiRuO4 (GGA-PBE, the Alexandria database).

a = 5.232 Å, b = 5.232 Å, c = 6.627 Å
α = 90.00°, β = 90.00°, γ = 113.08°
Element x y z (fractional)
Li 0.000 0.000 0.000
Li 0.000 0.000 0.500
Ru 0.354 0.646 0.750
Ru 0.646 0.354 0.250
O 0.222 0.279 0.750
O 0.239 0.761 0.535
O 0.239 0.761 0.965
O 0.279 0.222 0.250
O 0.721 0.778 0.750
O 0.761 0.239 0.035
O 0.761 0.239 0.465
O 0.778 0.721 0.250

Computed properties:
formation energy (no corrections): -1.061 eV/atom
space group: Cmcm, No. 63
energy relative to the lowest polymorph listed for this composition: 0.0 meV per atom

# 16
# Ac4YTe7

A relaxed structure of Ac4YTe7 (GGA-PBE, the Alexandria database).

a = 8.033 Å, b = 8.033 Å, c = 13.589 Å
α = 104.37°, β = 104.37°, γ = 33.02°
Element x y z (fractional)
Ac 0.000 0.000 0.000
Ac 0.100 0.100 0.447
Ac 0.305 0.305 0.217
Ac 0.701 0.701 0.821
Y 0.873 0.873 0.581
Te 0.034 0.034 0.770
Te 0.268 0.268 0.662
Te 0.338 0.338 0.966
Te 0.458 0.458 0.485
Te 0.662 0.662 0.063
Te 0.728 0.728 0.370
Te 0.961 0.961 0.224

Computed properties:
formation energy (no corrections): -1.536 eV/atom
space group: Cm, No. 8

# 17
# Na4HgPt3O8

A relaxed structure of Na4HgPt3O8 (GGA-PBE, the Alexandria database).

a = 6.748 Å, b = 6.748 Å, c = 6.138 Å
α = 113.05°, β = 113.05°, γ = 56.73°
Element x y z (fractional)
Na 0.000 0.000 0.000
Na 0.000 0.500 0.500
Na 0.500 0.000 0.500
Na 0.500 0.500 0.000
Hg 0.000 0.000 0.500
Pt 0.000 0.500 0.000
Pt 0.500 0.000 0.000
Pt 0.500 0.500 0.500
O 0.210 0.210 0.172
O 0.220 0.661 0.233
O 0.262 0.262 0.797
O 0.339 0.780 0.767
O 0.661 0.220 0.233
O 0.738 0.738 0.203
O 0.780 0.339 0.767
O 0.790 0.790 0.828

Computed properties:
formation energy (no corrections): -0.920 eV/atom
space group: C2/m, No. 12

# 18
# KNa2Cl3

A relaxed structure of KNa2Cl3 (GGA-PBE, the Alexandria database).

a = 9.154 Å, b = 9.154 Å, c = 9.154 Å
α = 152.24°, β = 152.24°, γ = 39.67°
Element x y z (fractional)
K 0.000 0.000 0.000
Na 0.332 0.332 0.000
Na 0.668 0.668 0.000
Cl 0.175 0.175 0.000
Cl 0.500 0.500 0.000
Cl 0.825 0.825 0.000

Computed properties:
formation energy (no corrections): -1.813 eV/atom
space group: I4/mmm, No. 139
energy relative to the lowest polymorph listed for this composition: 0.0 meV per atom

# 19
# Ce2AlCo3Ge4

A relaxed structure of Ce2AlCo3Ge4 (GGA-PBE, the Alexandria database).

a = 4.066 Å, b = 4.066 Å, c = 10.170 Å
α = 90.00°, β = 90.00°, γ = 90.00°
Element x y z (fractional)
Ce 0.000 0.500 0.237
Ce 0.500 0.000 0.763
Al 0.000 0.000 0.500
Co 0.000 0.500 0.876
Co 0.500 0.000 0.124
Co 0.500 0.500 0.500
Ge 0.000 0.000 0.000
Ge 0.000 0.500 0.647
Ge 0.500 0.000 0.353
Ge 0.500 0.500 0.000

Computed properties:
energy of formation: -0.58 eV/atom
space group: P-4m2, No. 115

# 20
# MgTaTl2

A relaxed structure of MgTaTl2 (GGA-PBE, the Alexandria database).

a = 3.091 Å, b = 3.091 Å, c = 9.172 Å
α = 90.00°, β = 90.00°, γ = 90.00°
Element x y z (fractional)
Mg 0.000 0.000 0.000
Ta 0.000 0.000 0.500
Tl 0.500 0.500 0.252
Tl 0.500 0.500 0.748

Computed properties:
energy of formation: 0.41 eV/atom
space group: P4/mmm, No. 123